# 1
# SrUSi

SrUSi after structural relaxation (PBE, OQMD).

The structure in POSCAR format:
```
SrUSi
1.0
0.000 3.587 3.587
3.587 0.000 3.587
3.587 3.587 0.000
Sr Si U
1 1 1
direct
0.250 0.250 0.250
0.000 0.000 0.000
0.750 0.750 0.750
```

Calculated values
- symmetry = F-43m
- calculated total energy (eV/atom) = -5.64

# 2
# ZnP

ZnP after structural relaxation (PBE, OQMD).

The structure in POSCAR format:
```
ZnP
1.0
2.996 -2.231 -0.885
-0.580 -3.544 -1.356
0.777 -0.801 -3.673
Zn P
1 1
direct
0.250 0.250 0.250
0.000 0.000 0.000
```

Calculated values
- symmetry = F-43m
- calculated total energy (eV/atom) = -3.23

# 3
# PuPt3

PuPt3 after structural relaxation (PBE, OQMD).

The structure in POSCAR format:
```
PuPt3
1.0
-5.243 5.243 2.762
5.243 -5.243 2.762
5.243 5.243 -2.762
Pt Pu
12 4
direct
0.781 0.947 0.084
0.373 0.904 0.025
0.863 0.697 0.916
0.959 0.557 0.656
0.443 0.099 0.402
0.053 0.137 0.835
0.901 0.303 0.344
0.652 0.627 0.531
0.303 0.219 0.165
0.096 0.121 0.469
0.879 0.348 0.975
0.697 0.041 0.598
0.872 0.623 0.257
0.377 0.634 0.249
0.385 0.128 0.751
0.366 0.615 0.743
```

Calculated values
- symmetry = I-4
- calculated total energy (eV/atom) = -8.68

# 4
# TbYZn2Sn2

TbYZn2Sn2 after structural relaxation (PBE, OQMD).

The structure in POSCAR format:
```
TbYZn2Sn2
1.0
-0.091 1.874 -4.107
-2.802 -3.398 0.993
-10.862 10.417 4.994
Sn Tb Y Zn
4 2 2 4
direct
0.667 0.333 0.614
0.333 0.667 0.386
0.667 0.333 0.886
0.333 0.667 0.114
0.000 0.000 0.000
0.000 0.000 0.500
0.000 0.000 0.250
0.000 0.000 0.750
0.667 0.333 0.159
0.667 0.333 0.341
0.333 0.667 0.659
0.333 0.667 0.841
```

Calculated values
- relative energy among the computed polymorphs (kcal/mol of atoms) = 0.07
- symmetry = P6_3/mmc
- calculated total energy (eV/atom) = -4.21

# 5
# NpTa

NpTa after structural relaxation (PBE, OQMD).

The structure in POSCAR format:
```
NpTa
1.0
-2.146 -2.359 -2.311
-3.407 -1.475 1.314
-3.409 1.282 -1.499
Ta Np
1 1
direct
0.500 0.500 0.500
0.000 0.000 0.000
```

Calculated values
- relative energy among the computed polymorphs (kcal/mol of atoms) = 24.29
- symmetry = Fm-3m
- calculated total energy (eV/atom) = -10.89

# 6
# Sm4CI2Br3

Sm4CI2Br3 after structural relaxation (PBE, OQMD).

The structure in POSCAR format:
```
Sm4CI2Br3
1.0
-4.913 -0.633 8.052
-5.665 -4.128 6.344
7.552 -2.802 2.406
I Br C Sm
2 3 1 4
direct
0.167 0.167 0.354
0.833 0.833 0.646
0.500 0.500 0.500
0.170 0.170 0.828
0.830 0.830 0.172
0.500 0.500 0.000
0.637 0.637 0.066
0.363 0.363 0.934
0.003 0.003 0.798
0.997 0.997 0.202
```

Calculated values
- relative energy among the computed polymorphs (kcal/mol of atoms) = 0.25
- symmetry = C2/m
- calculated total energy (eV/atom) = -4.92

What is the formula in the second record?
ZnP

The lowest calculated total energy belongs to which entry?
NpTa

Which value of calculated total energy does entry 5 give?
-10.89 eV/atom

Please write out number 4 again, unchanged.
# TbYZn2Sn2

TbYZn2Sn2 after structural relaxation (PBE, OQMD).

The structure in POSCAR format:
```
TbYZn2Sn2
1.0
-0.091 1.874 -4.107
-2.802 -3.398 0.993
-10.862 10.417 4.994
Sn Tb Y Zn
4 2 2 4
direct
0.667 0.333 0.614
0.333 0.667 0.386
0.667 0.333 0.886
0.333 0.667 0.114
0.000 0.000 0.000
0.000 0.000 0.500
0.000 0.000 0.250
0.000 0.000 0.750
0.667 0.333 0.159
0.667 0.333 0.341
0.333 0.667 0.659
0.333 0.667 0.841
```

Calculated values
- relative energy among the computed polymorphs (kcal/mol of atoms) = 0.07
- symmetry = P6_3/mmc
- calculated total energy (eV/atom) = -4.21